Record 1
Compound: RbMn3Os
Source: the Alexandria database
Functional: GGA-PBE
Structure: optimized geometry

abc: 4.9823 4.9823 4.9823
angles: 90.00 90.00 90.00
With the nearest neighbours (Å) after each atom.
Sites, in units of the cell vectors:
Rb 0.0000 0.0000 0.0000  12 Mn 3.52
Mn 0.0000 0.5000 0.5000  2 Os 2.49
Mn 0.5000 0.0000 0.5000  2 Os 2.49
Mn 0.5000 0.5000 0.0000  2 Os 2.49
Os 0.5000 0.5000 0.5000  6 Mn 2.49

Results
- ρ (g/cm3) = 5.914
- energy above the most stable polymorph in this dataset (kJ/mol of atoms) = 0.0
- Fermi-level density of states (states/eV/cell) = 5.2

---

Record 2
Compound: Ba4Th3ScAs8
Source: the Alexandria database
Functional: GGA-PBE
Structure: optimized geometry

abc: 9.0679 9.0679 9.0679
angles: 57.82 57.82 57.82
With the nearest neighbours (Å) after each atom.
Sites, in units of the cell vectors:
Ba 0.0000 0.0000 0.0000  6 As 3.41
Ba 0.0000 0.5000 0.5000  6 As 3.32-3.33
Ba 0.5000 0.0000 0.5000  6 As 3.32-3.33
Ba 0.5000 0.5000 0.0000  6 As 3.32-3.33
Th 0.0000 0.0000 0.5000  6 As 3.00-3.01
Th 0.0000 0.5000 0.0000  6 As 3.00-3.01
Th 0.5000 0.0000 0.0000  6 As 3.00-3.01
Sc 0.5000 0.5000 0.5000  6 As 2.91
As 0.2379 0.2379 0.2379  3 Th 3.00, 3 Ba 3.32
As 0.2452 0.7313 0.7313  1 Sc 2.91, 2 Th 3.01
As 0.2687 0.2687 0.7548  1 Sc 2.91, 2 Th 3.01
As 0.2687 0.7548 0.2687  1 Sc 2.91, 2 Th 3.01
As 0.7313 0.2452 0.7313  1 Sc 2.91, 2 Th 3.01
As 0.7313 0.7313 0.2452  1 Sc 2.91, 2 Th 3.01
As 0.7548 0.2687 0.2687  1 Sc 2.91, 2 Th 3.01
As 0.7621 0.7621 0.7621  3 Th 3.00, 3 Ba 3.32

Results
- ρ (g/cm3) = 6.266
- total DFT energy (no corrections) (eV per atom) = -5.82
- Fermi-level density of states (states/eV/cell) = 11.3